Computed, not measured: an optimized crystal structure of LaHgSb at the PBE level of DFT.

Structure (CIF):
```
data_LaHgSb
_cell_length_a 4.5920
_cell_length_b 4.5920
_cell_length_c 8.8338
_cell_angle_alpha 90.00
_cell_angle_beta 90.00
_cell_angle_gamma 90.00
_symmetry_space_group_name_H-M 'P 1'
_symmetry_Int_Tables_number 1
loop_
_symmetry_equiv_pos_as_xyz
'x,y,z'
loop_
_atom_site_label
_atom_site_type_symbol
_atom_site_fract_x
_atom_site_fract_y
_atom_site_fract_z
La1 La 0.2500 0.2500 0.1865
La2 La 0.7500 0.7500 0.8135
Hg1 Hg 0.2500 0.7500 0.5000
Hg2 Hg 0.7500 0.2500 0.5000
Sb1 Sb 0.2500 0.2500 0.8224
Sb2 Sb 0.7500 0.7500 0.1776
```

Computed properties:
space-group type = P4/nmm (129)
E above lowest polymorph = 0 meV per atom
E_form (uncorrected) = -2.31 eV per formula unit
Fermi-level density of states = 0.234 states/eV per atom
energy = -3.8863 eV/atom
crystal system = tetragonal

=====

Computed, not measured: an optimized crystal structure of Tb3EuOs at the PBE level of DFT.

Structure (CIF):
```
data_Tb3EuOs
_cell_length_a 5.5041
_cell_length_b 5.5041
_cell_length_c 5.5041
_cell_angle_alpha 90.00
_cell_angle_beta 90.00
_cell_angle_gamma 90.00
_symmetry_space_group_name_H-M 'P 1'
_symmetry_Int_Tables_number 1
loop_
_symmetry_equiv_pos_as_xyz
'x,y,z'
loop_
_atom_site_label
_atom_site_type_symbol
_atom_site_fract_x
_atom_site_fract_y
_atom_site_fract_z
Tb1 Tb 0.0000 0.0000 0.5000
Tb2 Tb 0.0000 0.5000 0.0000
Tb3 Tb 0.5000 0.0000 0.0000
Eu1 Eu 0.5000 0.5000 0.5000
Os1 Os 0.0000 0.0000 0.0000
```

Computed properties:
space-group type = Pm-3m (221)
formation energy = -6.2 kJ per mole of atoms
Fermi-level density of states = 0.661 states/eV per atom
energy = -7.1438 eV/atom
crystal system = cubic

=====

Computed, not measured: an optimized crystal structure of TbHo2Hf3N6 at the PBE level of DFT.

Structure (CIF):
```
data_TbHo2Hf3N6
_cell_length_a 5.7217
_cell_length_b 5.7217
_cell_length_c 5.8031
_cell_angle_alpha 99.48
_cell_angle_beta 99.48
_cell_angle_gamma 119.95
_symmetry_space_group_name_H-M 'P 1'
_symmetry_Int_Tables_number 1
loop_
_symmetry_equiv_pos_as_xyz
'x,y,z'
loop_
_atom_site_label
_atom_site_type_symbol
_atom_site_fract_x
_atom_site_fract_y
_atom_site_fract_z
Tb1 Tb 0.0000 0.0000 0.0000
Ho1 Ho 0.3332 0.6668 0.0000
Ho2 Ho 0.6668 0.3332 0.0000
Hf1 Hf 0.1670 0.8330 0.5000
Hf2 Hf 0.5000 0.5000 0.5000
Hf3 Hf 0.8330 0.1670 0.5000
N1 N 0.0914 0.4271 0.2743
N2 N 0.2440 0.2440 0.7254
N3 N 0.4271 0.0914 0.2743
N4 N 0.5729 0.9086 0.7257
N5 N 0.7560 0.7560 0.2746
N6 N 0.9086 0.5729 0.7257
```

Computed properties:
space-group type = C2/m (12)
E_form (uncorrected) = -21.55 eV per formula unit
Fermi-level density of states = 0.235 states/eV per atom
energy = -9.5959 eV/atom
crystal system = monoclinic